Here is a geometry-optimized NdSi3Ni3 structure from Alexandria via LeMat-Bulk. Energies are from PBE-GGA.

abc: 6.2347 6.2347 6.2347
angles: 90.00 90.00 90.00
Positions (direct):
Nd1 0.5000 0.5000 0.5000
Nd2 0.0000 0.0000 0.0000
Si1 0.5000 0.0000 0.7500
Si2 0.7500 0.5000 0.0000
Si3 0.2500 0.5000 0.0000
Si4 0.5000 0.0000 0.2500
Si5 0.0000 0.2500 0.5000
Si6 0.0000 0.7500 0.5000
Ni1 0.7500 0.0000 0.5000
Ni2 0.5000 0.2500 0.0000
Ni3 0.2500 0.0000 0.5000
Ni4 0.0000 0.5000 0.2500
Ni5 0.5000 0.7500 0.0000
Ni6 0.0000 0.5000 0.7500

Values from the calculation:
Energy relative to the elements, uncorrected   -0.36 eV/atom
SG   Pm-3n, No. 223
Calculated density   5.5 g/cm3
VASP energy   -5.844 eV/atom